# ZnSi2Ru, optimized geometry, DFT PBE
# space group: P4/mmm (123)
# crystal system: tetragonal
# VASP energy: -21.04 eV/cell
# formation energy without anion corrections: 0.088 eV per atom
data_ZnSi2Ru
_cell_length_a 3.623
_cell_length_b 3.860
_cell_length_c 3.860
_cell_angle_alpha 90.00
_cell_angle_beta 90.00
_cell_angle_gamma 90.00
_symmetry_space_group_name_H-M 'P 1'
_symmetry_Int_Tables_number 1
loop_
_symmetry_equiv_pos_as_xyz
'x,y,z'
loop_
_atom_site_label
_atom_site_type_symbol
_atom_site_fract_x
_atom_site_fract_y
_atom_site_fract_z
Ru1 Ru 0.500 0.000 0.500
Si1 Si 0.000 0.000 0.000
Si2 Si 0.000 0.500 0.500
Zn1 Zn 0.500 0.500 0.000

# Zn2SiRu, optimized geometry, DFT PBE
# space group: Cmm2 (35)
# crystal system: orthorhombic
# VASP energy: -16.85 eV/cell
# formation energy without anion corrections: 0.100 eV per atom
data_Zn2SiRu
_cell_length_a 2.785
_cell_length_b 2.785
_cell_length_c 8.399
_cell_angle_alpha 90.00
_cell_angle_beta 90.00
_cell_angle_gamma 114.10
_symmetry_space_group_name_H-M 'P 1'
_symmetry_Int_Tables_number 1
loop_
_symmetry_equiv_pos_as_xyz
'x,y,z'
loop_
_atom_site_label
_atom_site_type_symbol
_atom_site_fract_x
_atom_site_fract_y
_atom_site_fract_z
Ru1 Ru 0.000 0.000 0.516
Si1 Si 0.500 0.500 0.730
Zn1 Zn 0.000 0.000 0.994
Zn2 Zn 0.500 0.500 0.260

# ZnSi2Ru, optimized geometry, DFT PBE
# space group: P2/m (10)
# crystal system: monoclinic
# VASP energy: -21.56 eV/cell
# formation energy without anion corrections: -0.040 eV per atom
data_ZnSi2Ru
_cell_length_a 3.494
_cell_length_b 2.975
_cell_length_c 6.056
_cell_angle_alpha 60.21
_cell_angle_beta 90.00
_cell_angle_gamma 90.00
_symmetry_space_group_name_H-M 'P 1'
_symmetry_Int_Tables_number 1
loop_
_symmetry_equiv_pos_as_xyz
'x,y,z'
loop_
_atom_site_label
_atom_site_type_symbol
_atom_site_fract_x
_atom_site_fract_y
_atom_site_fract_z
Ru1 Ru 0.500 0.750 0.750
Si1 Si 0.000 0.004 0.994
Si2 Si 0.000 0.496 0.506
Zn1 Zn 0.500 0.250 0.250

# ZnSiRu, optimized geometry, DFT PBE
# space group: Fdd2 (43)
# crystal system: orthorhombic
# VASP energy: -136.28 eV/cell
# formation energy without anion corrections: -0.354 eV per atom
data_ZnSiRu
_cell_length_a 8.599
_cell_length_b 4.652
_cell_length_c 7.995
_cell_angle_alpha 90.00
_cell_angle_beta 90.00
_cell_angle_gamma 90.00
_symmetry_space_group_name_H-M 'P 1'
_symmetry_Int_Tables_number 1
loop_
_symmetry_equiv_pos_as_xyz
'x,y,z'
loop_
_atom_site_label
_atom_site_type_symbol
_atom_site_fract_x
_atom_site_fract_y
_atom_site_fract_z
Ru1 Ru 0.000 0.000 0.863
Ru2 Ru 0.250 0.250 0.113
Ru3 Ru 0.000 0.500 0.363
Ru4 Ru 0.250 0.750 0.613
Ru5 Ru 0.500 0.000 0.363
Ru6 Ru 0.750 0.250 0.613
Ru7 Ru 0.500 0.500 0.863
Ru8 Ru 0.750 0.750 0.113
Zn1 Zn 0.000 0.000 0.523
Zn2 Zn 0.250 0.250 0.773
Zn3 Zn 0.000 0.500 0.023
Zn4 Zn 0.250 0.750 0.273
Zn5 Zn 0.500 0.000 0.023
Zn6 Zn 0.750 0.250 0.273
Zn7 Zn 0.500 0.500 0.523
Zn8 Zn 0.750 0.750 0.773
Si1 Si 0.000 0.000 0.188
Si2 Si 0.250 0.250 0.438
Si3 Si 0.000 0.500 0.688
Si4 Si 0.250 0.750 0.938
Si5 Si 0.500 0.000 0.688
Si6 Si 0.750 0.250 0.938
Si7 Si 0.500 0.500 0.188
Si8 Si 0.750 0.750 0.438

# ZnSi2Ru, optimized geometry, DFT PBE
# space group: R-3m (166)
# crystal system: trigonal
# VASP energy: -21.92 eV/cell
# formation energy without anion corrections: -0.130 eV per atom
data_ZnSi2Ru
_cell_length_a 7.959
_cell_length_b 7.959
_cell_length_c 7.959
_cell_angle_alpha 21.22
_cell_angle_beta 21.22
_cell_angle_gamma 21.22
_symmetry_space_group_name_H-M 'P 1'
_symmetry_Int_Tables_number 1
loop_
_symmetry_equiv_pos_as_xyz
'x,y,z'
loop_
_atom_site_label
_atom_site_type_symbol
_atom_site_fract_x
_atom_site_fract_y
_atom_site_fract_z
Ru1 Ru 0.750 0.750 0.750
Si1 Si 0.007 0.007 0.007
Si2 Si 0.493 0.493 0.493
Zn1 Zn 0.250 0.250 0.250

# ZnSi2Ru, optimized geometry, DFT PBE
# space group: Cmmm (65)
# crystal system: orthorhombic
# VASP energy: -20.87 eV/cell
# formation energy without anion corrections: 0.131 eV per atom
data_ZnSi2Ru
_cell_length_a 2.847
_cell_length_b 2.847
_cell_length_c 8.075
_cell_angle_alpha 90.00
_cell_angle_beta 90.00
_cell_angle_gamma 115.54
_symmetry_space_group_name_H-M 'P 1'
_symmetry_Int_Tables_number 1
loop_
_symmetry_equiv_pos_as_xyz
'x,y,z'
loop_
_atom_site_label
_atom_site_type_symbol
_atom_site_fract_x
_atom_site_fract_y
_atom_site_fract_z
Ru1 Ru 0.500 0.500 0.750
Si1 Si 0.000 0.000 0.982
Si2 Si 0.000 0.000 0.518
Zn1 Zn 0.500 0.500 0.250